## K2SmSbS4 (PBE-GGA)

Data for a relaxed K2SmSbS4 crystal.

Computed properties:
The uncorrected formation energy is -121.28 kJ/mol of atoms. The calculation puts the calculated total energy at -4.7003 eV per atom. Its total magnetization is 0.00 μB per formula unit. As for the symmetry: Imma (74).

a = 8.454 Å, b = 8.454 Å, c = 8.454 Å
α = 120.13°, β = 119.89°, γ = 89.98°
Element x y z (fractional)
K 0.000 0.000 0.000
K 0.500 0.000 0.000
K 0.500 0.000 0.500
K 0.500 0.500 0.500
Sm 0.000 0.500 0.500
Sm 0.500 0.500 0.000
Sb 0.000 0.000 0.500
Sb 0.000 0.500 0.000
S 0.208 0.737 0.472
S 0.234 0.261 0.527
S 0.234 0.708 0.973
S 0.235 0.263 0.972
S 0.765 0.737 0.028
S 0.766 0.292 0.027
S 0.766 0.739 0.473
S 0.792 0.263 0.528